Entry 1:
Here is crystalline BaCr2Co at its relaxed geometry from Alexandria. Energies are from PBE-GGA.

Unit cell a=4.0248 b=4.0248 c=18.0493 alpha=90.00 beta=90.00 gamma=120.00
Space group R-3m (No. 166, hexagonal axes)
Symmetry-distinct sites (fractional):
Ba 0.0000 0.0000 0.0000 (multiplicity 3)
Cr 0.0000 0.0000 0.1904 (multiplicity 6)
Co 0.0000 0.0000 0.5000 (multiplicity 3)

## Properties
ΔH_f (0 K) in meV per atom: 679
Total magnetic moment in μB/f.u.: 2.2
Offset from the most stable computed form in meV per atom: 129

Entry 2:
Here is crystalline ThAlSi2 at its relaxed geometry from Alexandria. Energies are from PBE-GGA.

Unit cell a=13.657 b=4.120 c=11.079 alpha=90.00 beta=90.00 gamma=90.00
Space group Pnma (No. 62)
Symmetry-distinct sites (fractional):
Th 0.054 0.250 0.240 (multiplicity 4)
Th 0.199 0.750 0.956 (multiplicity 4)
Al 0.061 0.250 0.548 (multiplicity 4)
Al 0.194 0.750 0.653 (multiplicity 4)
Si 0.025 0.250 0.958 (multiplicity 4)
Si 0.109 0.250 0.771 (multiplicity 4)
Si 0.130 0.750 0.430 (multiplicity 4)
Si 0.217 0.750 0.238 (multiplicity 4)

## Properties
Total magnetic moment in μB/f.u.: 0.0
E_form (uncorrected) in eV/atom: -0.419

Entry 3:
Here is crystalline HfCoAg2S at its relaxed geometry from Alexandria. Energies are from PBE-GGA.

Unit cell a=4.860 b=4.860 c=3.995 alpha=90.00 beta=90.00 gamma=90.00
Space group P4/mmm (No. 123)
Symmetry-distinct sites (fractional):
Hf 0.000 0.000 0.000 (multiplicity 1)
Co 0.500 0.500 0.500 (multiplicity 1)
Ag 0.000 0.500 0.500 (multiplicity 2)
S 0.500 0.500 0.000 (multiplicity 1)

## Properties
Total magnetic moment in μB/f.u.: 0.0
E_form (uncorrected) in eV/atom: 0.482

Entry 4:
Here is crystalline LiLaTc at its relaxed geometry from Alexandria. Energies are from PBE-GGA.

Unit cell a=3.646 b=3.646 c=8.791 alpha=90.00 beta=90.00 gamma=90.00
Space group I4mm (No. 107)
Symmetry-distinct sites (fractional):
Li 0.000 0.000 0.000 (multiplicity 2)
La 0.000 0.000 0.679 (multiplicity 2)
Tc 0.000 0.000 0.378 (multiplicity 2)

## Properties
ΔH_f (0 K) in meV per atom: 358
Total magnetic moment in μB/f.u.: 0.0
Offset from the most stable computed form in meV per atom: 209